## Zr2ScCl (PBE-GGA)

Data for Zr2ScCl after structural relaxation.

abc: 9.822 9.822 9.822
angles: 18.88 18.88 18.88
Fractional positions:
Zr 0.992 0.992 0.992
Zr 0.508 0.508 0.508
Cl 0.250 0.250 0.250
Sc 0.750 0.750 0.750

Values from the calculation:
The value obtained for the total energy is -26.73 eV/cell. The value obtained for the energy relative to the elements, uncorrected is -140.7 kJ/mol of formula units.

***

## Zr2ScCl (PBE-GGA)

Data for Zr2ScCl after structural relaxation.

abc: 6.249 6.249 5.311
angles: 64.78 64.78 27.94
Each line ends with the local moment (μB).
Fractional positions:
Cl 0.750 0.750 0.750  0.00
Sc 0.250 0.250 0.250  0.28
Zr 0.035 0.035 0.964  0.03
Zr 0.465 0.465 0.536  0.03

Values from the calculation:
The value obtained for the total energy is -26.05 eV/cell. The value obtained for the energy relative to the elements, uncorrected is -75.0 kJ/mol of formula units.

***

## Zr2ScCl (PBE-GGA)

Data for Zr2ScCl after structural relaxation.

abc: 5.924 5.924 5.924
angles: 149.23 123.68 65.56
Fractional positions:
Cl 0.500 0.500 0.000
Sc 0.718 0.218 0.500
Zr 0.277 0.777 0.500
Zr 0.005 0.005 0.000

Values from the calculation:
The value obtained for the total energy is -25.89 eV/cell. The value obtained for the energy relative to the elements, uncorrected is -59.3 kJ/mol of formula units.

***

## Zr2ScCl (PBE-GGA)

Data for Zr2ScCl after structural relaxation.

abc: 5.384 4.051 4.051
angles: 90.00 90.00 90.00
Fractional positions:
Zr 0.000 0.500 0.500
Zr 0.000 0.000 0.000
Sc 0.500 0.000 0.500
Cl 0.500 0.500 0.000

Values from the calculation:
The value obtained for the total energy is -24.81 eV/cell. The value obtained for the energy relative to the elements, uncorrected is 45.0 kJ/mol of formula units.

***

## Zr3ScCl (PBE-GGA)

Data for Zr3ScCl after structural relaxation.

abc: 5.173 5.173 5.173
angles: 90.00 90.00 90.00
Each line ends with the local moment (μB).
Fractional positions:
Zr 0.000 0.000 0.500  0.24
Zr 0.500 0.000 0.000  0.32
Zr 0.000 0.500 0.000  0.26
Cl 0.500 0.500 0.500  0.01
Sc 0.000 0.000 0.000  0.02

Values from the calculation:
The value obtained for the total energy is -28.09 eV/cell. The value obtained for the energy relative to the elements, uncorrected is 552.6 kJ/mol of formula units.

***

## Zr2ScCl (PBE-GGA)

Data for Zr2ScCl after structural relaxation.

abc: 5.289 5.289 3.147
angles: 90.00 90.00 90.00
Fractional positions:
Sc 0.000 0.500 0.500
Zr 0.000 0.000 0.000
Zr 0.500 0.500 0.000
Cl 0.500 0.000 0.500

Values from the calculation:
The value obtained for the total energy is -25.10 eV/cell. The value obtained for the energy relative to the elements, uncorrected is 17.0 kJ/mol of formula units.

***

## Zr2ScCl (PBE-GGA)

Data for Zr2ScCl after structural relaxation.

abc: 3.214 5.104 5.511
angles: 90.00 90.00 90.00
Fractional positions:
Sc 0.500 0.500 0.750
Cl 0.500 0.500 0.250
Zr 0.000 0.000 0.987
Zr 0.000 0.000 0.513

Values from the calculation:
The value obtained for the total energy is -25.37 eV/cell. The value obtained for the energy relative to the elements, uncorrected is -9.1 kJ/mol of formula units.

***

## Zr2ScCl (PBE-GGA)

Data for Zr2ScCl after structural relaxation.

abc: 4.991 4.991 4.991
angles: 60.00 60.00 60.00
Fractional positions:
Cl 0.500 0.500 0.500
Zr 0.000 0.000 0.000
Zr 0.250 0.250 0.250
Sc 0.750 0.750 0.750

Values from the calculation:
The value obtained for the total energy is -23.99 eV/cell. The value obtained for the energy relative to the elements, uncorrected is 124.3 kJ/mol of formula units.

***

## Zr2ScCl (PBE-GGA)

Data for Zr2ScCl after structural relaxation.

abc: 5.301 3.254 5.193
angles: 82.98 90.00 90.00
Fractional positions:
Cl 0.500 0.250 0.250
Zr 0.000 0.413 0.512
Zr 0.000 0.087 0.988
Sc 0.500 0.750 0.750

Values from the calculation:
The value obtained for the total energy is -25.74 eV/cell. The value obtained for the energy relative to the elements, uncorrected is -44.8 kJ/mol of formula units.

***

## Zr2ScCl (PBE-GGA)

Data for Zr2ScCl after structural relaxation.

abc: 5.012 5.012 5.012
angles: 60.00 60.00 60.00
Each line ends with the local moment (μB).
Fractional positions:
Cl 0.000 0.000 0.000  0.01
Zr 0.250 0.250 0.250  0.39
Zr 0.750 0.750 0.750  0.39
Sc 0.500 0.500 0.500  0.66

Values from the calculation:
The value obtained for the total energy is -23.52 eV/cell. The value obtained for the energy relative to the elements, uncorrected is 168.9 kJ/mol of formula units.

***

## Zr2ScCl (PBE-GGA)

Data for Zr2ScCl after structural relaxation.

abc: 3.159 3.159 8.727
angles: 90.00 90.00 90.00
Fractional positions:
Zr 0.000 0.000 0.011
Zr 0.000 0.000 0.489
Cl 0.500 0.500 0.250
Sc 0.500 0.500 0.750

Values from the calculation:
The value obtained for the total energy is -26.26 eV/cell. The value obtained for the energy relative to the elements, uncorrected is -95.3 kJ/mol of formula units.

***

## Zr2ScCl (PBE-GGA)

Data for Zr2ScCl after structural relaxation.

abc: 6.108 6.108 6.108
angles: 141.20 141.20 56.04
Fractional positions:
Zr 0.500 0.500 0.000
Zr 0.000 0.000 0.000
Cl 0.250 0.750 0.500
Sc 0.750 0.250 0.500

Values from the calculation:
The value obtained for the total energy is -24.84 eV/cell. The value obtained for the energy relative to the elements, uncorrected is 42.2 kJ/mol of formula units.